A geometry-optimized Zn6Pd5Au structure. Source: Alexandria, functional PBE.

```
12
Lattice="-1.737 -3.961 0.859 4.681 -2.660 -2.795 2.431 -2.187 6.151" Properties=species:S:1:pos:R:3 pbc="T T T"
Zn 0.331 -2.662 -0.287
Zn 0.566 -4.704 2.094
Pd 0.467 -4.099 4.681
Pd 2.341 -1.330 -1.398
Zn 4.808 -4.104 2.121
Pd 0.227 -2.049 2.329
Zn 2.613 -3.959 -1.649
Zn 2.495 -2.789 3.503
Zn 2.879 -6.018 0.712
Pd 2.563 -3.379 0.925
Au 0.000 0.000 0.000
Pd 2.811 -5.429 3.290
```

Summary:
total moment = 0.00 μB per cell
space group = Cmmm
calculated total energy = -3.561 eV/atom
E_form = -487 meV/atom